# Mn2SbO4

A geometry-optimized Mn2SbO4 structure (PBE with a Hubbard U, Alexandria).

Cell lengths 6.4011, 6.4011, 9.0430 Å; angles 90.00, 90.00, 90.00 degrees
Closest atoms and distances in Å follow each position.
Space group I4_1/amd (No. 141, origin choice 2)
Unique sites:
Mn 0.0000 0.0000 0.0000  6 O 2.20
Sb 0.0000 0.2500 0.3750  4 O 2.06
O 0.0000 0.0134 0.7565  1 Sb 2.06, 3 Mn 2.20

## Properties
- Excess energy over the best structure of this formula in the dataset: 0.0000 eV/atom
- E_tot: -7.030 eV/atom
- D(E_F): 0.23 states/eV/atom